[1]
DyPu2Th | PBE-GGA | relaxed

The structure in POSCAR format:
```
DyPu2Th
1.0
0.000 3.884 3.884
3.884 0.000 3.884
3.884 3.884 0.000
Dy Pu Th
1 2 1
Direct
0.000 0.000 0.000
0.250 0.250 0.250
0.750 0.750 0.750
0.500 0.500 0.500
```

Summary:
The calculation puts the formation energy at 0.24 eV/atom. The symmetry is Fm-3m (225).

---

[2]
Ta2BeOsN | PBE-GGA | relaxed

The structure in POSCAR format:
```
Ta2BeOsN
1.0
4.379 0.000 0.000
0.000 4.379 0.000
0.000 0.000 3.342
Ta Be Os N
2 1 1 1
Direct
0.000 0.500 0.000
0.500 0.000 0.000
0.000 0.000 0.500
0.500 0.500 0.500
0.000 0.000 0.000
```

Summary:
The value obtained for the uncorrected formation energy is -240 kJ/mol of formula units. The symmetry is P4/mmm (123).

---

[3]
Ac2HfSc | PBE-GGA | relaxed

The structure in POSCAR format:
```
Ac2HfSc
1.0
1.755 1.013 12.294
-1.755 1.013 12.294
0.000 -2.026 12.294
Ac Hf Sc
2 1 1
Direct
0.087 0.087 0.087
0.913 0.913 0.913
0.000 0.000 0.000
0.500 0.500 0.500
```

Summary:
The calculation puts the formation energy at 0.58 eV/atom. The symmetry is R-3m (166).

---

[4]
DyHo3Sb2 | PBE-GGA | relaxed

The structure in POSCAR format:
```
DyHo3Sb2
1.0
9.056 -2.140 0.000
9.056 2.140 0.000
-3.938 0.000 8.868
Dy Ho Sb
2 6 4
Direct
0.110 0.110 0.115
0.890 0.890 0.885
0.056 0.056 0.675
0.312 0.312 0.108
0.356 0.356 0.523
0.644 0.644 0.477
0.688 0.688 0.892
0.944 0.944 0.325
0.250 0.250 0.721
0.491 0.491 0.155
0.509 0.509 0.845
0.750 0.750 0.279
```

Summary:
The value obtained for the uncorrected formation energy is -387 kJ/mol of formula units. The symmetry is C2/m (12).

---

Calculated total energy across the listed records, respectively: -9.9360 -9.8952 -5.5459 -5.0993 eV/atom.
DOS at the Fermi energy across the listed records, respectively: 11.7 2.1 5.4 12.8 states/eV per cell.